Model i:
Computed, not measured: a geometry-optimized ZrInSb3 structure at the PBE-GGA level of DFT.

As for the density of states at the Fermi level: 1.1517 states/eV/atom.

The structure belongs to space group Pm-3m (No. 221); the cell edges are 5.5816, 5.5816 and 5.5816 Å and the angles 90.00°, 90.00° and 90.00°. The inequivalent atoms are Zr at (0.0000, 0.0000, 0.0000), In at (0.5000, 0.5000, 0.5000) and Sb at (0.0000, 0.0000, 0.5000).


Model ii:
Computed, not measured: a geometry-optimized ZrInSb3 structure at the PBE-GGA level of DFT.

As for the density of states at the Fermi level: 1.0454 states/eV/atom.

The structure belongs to space group Pm-3m (No. 221); the cell edges are 5.4587, 5.4587 and 5.4587 Å and the angles 90.00°, 90.00° and 90.00°. The inequivalent atoms are Zr at (0.0000, 0.0000, 0.0000), In at (0.5000, 0.5000, 0.5000) and Sb at (0.0000, 0.5000, 0.5000).


From most stable to least stable, the computed energies give model i, model ii.